! SrLiPmBi | Alexandria | GGA-PBE | optimized geometry; values from VASP
&SYSTEM
  ibrav = 0, nat = 4, ntyp = 4
/
ATOMIC_SPECIES
Sr 87.62 Sr.upf
Li 6.94 Li.upf
Bi 208.98 Bi.upf
Pm 145.00 Pm.upf
ATOMIC_POSITIONS crystal
Sr 0.750 0.750 0.750
Li 0.000 0.000 0.000
Bi 0.500 0.500 0.500
Pm 0.250 0.250 0.250
CELL_PARAMETERS angstrom
-0.079 2.547 -4.979
-1.587 -2.823 -4.560
-4.882 1.179 -2.461
! **Symmetry**: No. 216
! **Formation enthalpy at 0 K**: -1.37 eV/f.u.

! Ac2ScZn | Alexandria | GGA-PBE | optimized geometry; values from VASP
&SYSTEM
  ibrav = 0, nat = 4, ntyp = 3
/
ATOMIC_SPECIES
Sc 44.96 Sc.upf
Ac 227.00 Ac.upf
Zn 65.41 Zn.upf
ATOMIC_POSITIONS crystal
Sc 0.500 0.500 0.500
Ac 0.090 0.090 0.729
Ac 0.910 0.910 0.271
Zn 0.000 0.000 0.000
CELL_PARAMETERS angstrom
3.715 0.000 0.000
1.857 3.217 0.000
1.857 1.072 12.225
! **Symmetry**: No. 166
! **Relative energy among the computed polymorphs**: 155 kJ/mol of formula units
! **Formation enthalpy at 0 K**: 1.43 eV/f.u.